# PBE CsCuSnSe3, relaxed
data_CsCuSnSe3
_chemical_formula_sum 'Cs2 Cu2 Sn2 Se6'
_cell_length_a 4.111
_cell_length_b 9.770
_cell_length_c 9.941
_cell_angle_alpha 113.59
_cell_angle_beta 90.00
_cell_angle_gamma 90.00
_space_group_name_H-M_alt 'P 1'
_space_group_IT_number 1
loop_
_space_group_symop_operation_xyz
'x,y,z'
loop_
_atom_site_label
_atom_site_fract_x
_atom_site_fract_y
_atom_site_fract_z
_atom_site_occupancy
Se1 0.250 0.795 0.446 1
Se2 0.250 0.527 0.847 1
Se3 0.750 0.473 0.153 1
Cu1 0.250 0.067 0.576 1
Sn1 0.250 0.671 0.146 1
Cs1 0.750 0.790 0.747 1
Cu2 0.750 0.933 0.424 1
Cs2 0.250 0.210 0.253 1
Sn2 0.750 0.329 0.854 1
Se4 0.750 0.865 0.152 1
Se5 0.750 0.205 0.554 1
Se6 0.250 0.135 0.848 1
# density of states at the Fermi level	0.6	states/eV/f.u.
# E_tot	-3.83	eV/atom

# PBE ZrTeRh2, relaxed
data_ZrTeRh2
_chemical_formula_sum 'Zr1 Te1 Rh2'
_cell_length_a 4.671
_cell_length_b 4.671
_cell_length_c 4.671
_cell_angle_alpha 60.00
_cell_angle_beta 60.00
_cell_angle_gamma 60.00
_space_group_name_H-M_alt 'P 1'
_space_group_IT_number 1
loop_
_space_group_symop_operation_xyz
'x,y,z'
loop_
_atom_site_label
_atom_site_fract_x
_atom_site_fract_y
_atom_site_fract_z
_atom_site_occupancy
Rh1 0.000 0.000 0.000 1
Te1 0.500 0.500 0.500 1
Zr1 0.750 0.750 0.750 1
Rh2 0.250 0.250 0.250 1
# density of states at the Fermi level	4.7	states/eV/f.u.
# distance to the lowest polymorph of the same formula	0.260	eV per atom

# PBE Ho6AlCu2, relaxed
data_Ho6AlCu2
_chemical_formula_sum 'Ho12 Al2 Cu4'
_cell_length_a 8.404
_cell_length_b 8.404
_cell_length_c 8.404
_cell_angle_alpha 106.19
_cell_angle_beta 109.57
_cell_angle_gamma 112.72
_space_group_name_H-M_alt 'P 1'
_space_group_IT_number 1
loop_
_space_group_symop_operation_xyz
'x,y,z'
loop_
_atom_site_label
_atom_site_fract_x
_atom_site_fract_y
_atom_site_fract_z
_atom_site_occupancy
Cu1 0.500 0.620 0.120 1
Cu2 0.660 0.000 0.660 1
Ho1 0.303 0.979 0.676 1
Ho2 0.904 0.722 0.183 1
Ho3 0.807 0.241 0.048 1
Al1 0.000 0.500 0.500 1
Cu3 0.340 0.000 0.340 1
Cu4 0.500 0.380 0.880 1
Ho4 0.096 0.278 0.817 1
Ho5 0.303 0.627 0.324 1
Ho6 0.539 0.722 0.817 1
Ho7 0.193 0.759 0.952 1
Ho8 0.697 0.373 0.676 1
Ho9 0.697 0.021 0.324 1
Ho10 0.193 0.241 0.433 1
Ho11 0.807 0.759 0.567 1
Ho12 0.461 0.278 0.183 1
Al2 0.000 0.000 0.000 1
# density of states at the Fermi level	7.4	states/eV/f.u.
# ΔE_f	-0.21	eV per atom

# PBE AlZnBi, relaxed
data_AlZnBi
_chemical_formula_sum 'Al1 Zn1 Bi1'
_cell_length_a 3.294
_cell_length_b 4.896
_cell_length_c 4.896
_cell_angle_alpha 120.00
_cell_angle_beta 90.00
_cell_angle_gamma 90.00
_space_group_name_H-M_alt 'P 1'
_space_group_IT_number 1
loop_
_space_group_symop_operation_xyz
'x,y,z'
loop_
_atom_site_label
_atom_site_fract_x
_atom_site_fract_y
_atom_site_fract_z
_atom_site_occupancy
Bi1 0.630 0.333 0.667 1
Zn1 0.190 0.000 0.000 1
Al1 0.180 0.667 0.333 1
# density of states at the Fermi level	1.1	states/eV/f.u.
# ΔE_f	0.25	eV per atom
# distance to the lowest polymorph of the same formula	0.063	eV per atom

# PBE Pr3NdAl, relaxed
data_Pr3NdAl
_chemical_formula_sum 'Pr6 Nd2 Al2'
_cell_length_a 3.810
_cell_length_b 8.842
_cell_length_c 10.063
_cell_angle_alpha 103.30
_cell_angle_beta 100.91
_cell_angle_gamma 90.02
_space_group_name_H-M_alt 'P 1'
_space_group_IT_number 1
loop_
_space_group_symop_operation_xyz
'x,y,z'
loop_
_atom_site_label
_atom_site_fract_x
_atom_site_fract_y
_atom_site_fract_z
_atom_site_occupancy
Pr1 0.612 0.933 0.483 1
Nd1 0.008 0.153 0.276 1
Nd2 0.823 0.072 0.899 1
Pr2 0.218 0.292 0.693 1
Pr3 0.230 0.733 0.717 1
Al1 0.017 0.678 0.293 1
Al2 0.813 0.547 0.883 1
Pr4 0.417 0.410 0.090 1
Pr5 0.600 0.491 0.459 1
Pr6 0.413 0.815 0.085 1
# density of states at the Fermi level	5.9	states/eV/f.u.
# ΔE_f	-0.11	eV per atom
# distance to the lowest polymorph of the same formula	0.000	eV per atom

# PBE Sr3TaAl2O9, relaxed
data_Sr3TaAl2O9
_chemical_formula_sum 'Sr3 Ta1 Al2 O9'
_cell_length_a 5.508
_cell_length_b 5.508
_cell_length_c 6.786
_cell_angle_alpha 90.00
_cell_angle_beta 90.00
_cell_angle_gamma 120.00
_space_group_name_H-M_alt 'P 1'
_space_group_IT_number 1
loop_
_space_group_symop_operation_xyz
'x,y,z'
loop_
_atom_site_label
_atom_site_fract_x
_atom_site_fract_y
_atom_site_fract_z
_atom_site_occupancy
O1 0.660 0.830 0.329 1
O2 0.340 0.170 0.671 1
O3 0.000 0.500 0.000 1
O4 0.830 0.170 0.671 1
Ta1 0.000 0.000 0.500 1
Sr1 0.333 0.667 0.679 1
Sr2 0.000 0.000 0.000 1
O5 0.170 0.830 0.329 1
O6 0.500 0.000 0.000 1
O7 0.500 0.500 0.000 1
O8 0.830 0.660 0.671 1
Sr3 0.667 0.333 0.321 1
Al1 0.333 0.667 0.160 1
Al2 0.667 0.333 0.840 1
O9 0.170 0.340 0.329 1
# density of states at the Fermi level	5.9	states/eV/f.u.
# E_tot	-7.52	eV/atom

# PBE TcTeSe4, relaxed
data_TcTeSe4
_chemical_formula_sum 'Tc1 Te1 Se4'
_cell_length_a 5.734
_cell_length_b 5.734
_cell_length_c 5.734
_cell_angle_alpha 60.00
_cell_angle_beta 60.00
_cell_angle_gamma 60.00
_space_group_name_H-M_alt 'P 1'
_space_group_IT_number 1
loop_
_space_group_symop_operation_xyz
'x,y,z'
loop_
_atom_site_label
_atom_site_fract_x
_atom_site_fract_y
_atom_site_fract_z
_atom_site_occupancy
Se1 0.377 0.377 0.377 1
Te1 0.000 0.000 0.000 1
Se2 0.869 0.377 0.377 1
Se3 0.377 0.377 0.869 1
Se4 0.377 0.869 0.377 1
Tc1 0.750 0.750 0.750 1
# density of states at the Fermi level	4.3	states/eV/f.u.
# E_tot	-3.58	eV/atom

# PBE ZnFe2, relaxed
data_ZnFe2
_chemical_formula_sum 'Zn2 Fe4'
_cell_length_a 4.688
_cell_length_b 4.688
_cell_length_c 4.688
_cell_angle_alpha 104.90
_cell_angle_beta 104.90
_cell_angle_gamma 119.05
_space_group_name_H-M_alt 'P 1'
_space_group_IT_number 1
loop_
_space_group_symop_operation_xyz
'x,y,z'
loop_
_atom_site_label
_atom_site_fract_x
_atom_site_fract_y
_atom_site_fract_z
_atom_site_occupancy
Fe1 0.857 0.357 0.215 1
Fe2 0.143 0.643 0.785 1
Fe3 0.643 0.857 0.500 1
Zn1 0.250 0.250 0.000 1
Fe4 0.357 0.143 0.500 1
Zn2 0.750 0.750 0.000 1
# density of states at the Fermi level	2.5	states/eV/f.u.
# ΔE_f	0.28	eV per atom